The following is a DFT calculation (PBE) of an optimized crystal structure of AlBiTePt2.

Results
Its formation energy (no corrections) is 294.3 meV per atom. The crystal system is tetragonal. Its density of states at the Fermi level is 0.404 states/eV/atom. Its spin magnetization is 0.0 μB per formula unit.

Cell: 4.706 4.706 5.410 Å, 90.00 90.00 90.00°
Positions (direct):
Al1 0.000 0.000 0.000
Bi1 0.500 0.500 0.500
Te1 0.000 0.000 0.500
Pt1 0.000 0.500 0.000
Pt2 0.500 0.000 0.000